Crystalline Rb3Dy3GeS8 at its relaxed geometry. Source: Alexandria via LeMat-Bulk, functional PBE-GGA.

The structure in POSCAR format:
```
Rb3Dy3GeS8
1.0
3.959 2.286 7.862
-3.959 2.286 7.862
0.000 -4.571 7.862
Rb Dy Ge S
3 3 1 8
direct
0.000 0.500 0.500
0.500 0.000 0.500
0.500 0.500 0.000
0.000 0.000 0.500
0.000 0.500 0.000
0.500 0.000 0.000
0.500 0.500 0.500
0.230 0.230 0.230
0.256 0.712 0.712
0.288 0.288 0.744
0.288 0.744 0.288
0.712 0.256 0.712
0.712 0.712 0.256
0.744 0.288 0.288
0.770 0.770 0.770
```

Values from the calculation:
**Formation energy without anion corrections**: -1475 meV per atom
**Density of states at the Fermi level**: 0.057 states/eV per atom
**V**: 28.46 Å³/atom
**Total magnetic moment**: 0.0 μB per formula unit
**Crystal system**: trigonal
**Raw total energy**: -5.10 eV per atom

Crystalline Tl12In5Pb2 at its relaxed geometry. Source: Alexandria via LeMat-Bulk, functional PBE-GGA.

The structure in POSCAR format:
```
Tl12In5Pb2
1.0
9.654 -5.555 0.000
9.654 5.555 0.000
-1.601 0.000 5.462
Tl In Pb
12 5 2
direct
0.042 0.555 0.798
0.095 0.095 0.099
0.141 0.663 0.402
0.337 0.859 0.598
0.398 0.398 0.895
0.445 0.958 0.202
0.555 0.042 0.798
0.602 0.602 0.105
0.663 0.141 0.402
0.859 0.337 0.598
0.905 0.905 0.901
0.958 0.445 0.202
0.206 0.206 0.706
0.301 0.301 0.303
0.500 0.500 0.500
0.699 0.699 0.697
0.794 0.794 0.294
0.255 0.745 0.000
0.745 0.255 0.000
```

Values from the calculation:
**Density of states at the Fermi level**: 0.356 states/eV per atom
**V**: 30.83 Å³/atom
**Total magnetic moment**: 0.0 μB per formula unit
**Crystal system**: monoclinic
**Raw total energy**: -2.58 eV per atom
**E_form**: 0.56 eV per formula unit

Crystalline Sc5TiAs6 at its relaxed geometry. Source: Alexandria via LeMat-Bulk, functional PBE-GGA.

The structure in POSCAR format:
```
Sc5TiAs6
1.0
3.326 -5.755 0.000
3.326 5.755 0.000
-2.222 0.000 6.269
Sc Ti As
5 1 6
direct
0.000 0.000 0.000
0.166 0.834 0.500
0.331 0.669 0.000
0.669 0.331 0.000
0.834 0.166 0.500
0.500 0.500 0.500
0.093 0.419 0.256
0.257 0.257 0.747
0.419 0.093 0.256
0.581 0.907 0.744
0.743 0.743 0.253
0.907 0.581 0.744
```

Values from the calculation:
**Density of states at the Fermi level**: 0.212 states/eV per atom
**V**: 20.00 Å³/atom
**Total magnetic moment**: 0.0 μB per formula unit
**Crystal system**: monoclinic
**Raw total energy**: -6.91 eV per atom
**E_form**: -15.43 eV per formula unit

Crystalline La3Tb2Ce at its relaxed geometry. Source: Alexandria via LeMat-Bulk, functional PBE-GGA.

The structure in POSCAR format:
```
La3Tb2Ce
1.0
6.257 0.000 0.000
-1.073 6.220 0.000
-1.073 -3.376 5.230
La Tb Ce
3 2 1
direct
0.000 0.000 0.000
0.001 0.662 0.337
0.999 0.338 0.663
0.500 0.166 0.834
0.500 0.834 0.166
0.500 0.500 0.500
```

Values from the calculation:
**Density of states at the Fermi level**: 2.185 states/eV per atom
**V**: 33.92 Å³/atom
**Total magnetic moment**: 1.3 μB per formula unit
**Crystal system**: triclinic
**Raw total energy**: -4.94 eV per atom
**E_form**: 0.36 eV per formula unit

Crystalline Li8Ag2Pb at its relaxed geometry. Source: Alexandria via LeMat-Bulk, functional PBE-GGA.

The structure in POSCAR format:
```
Li8Ag2Pb
1.0
3.860 -6.049 0.000
3.860 6.049 0.000
-1.515 0.000 4.575
Li Ag Pb
8 2 1
direct
0.072 0.303 0.593
0.232 0.768 0.000
0.303 0.072 0.593
0.380 0.380 0.175
0.620 0.620 0.825
0.697 0.928 0.407
0.768 0.232 0.000
0.928 0.697 0.407
0.319 0.681 0.500
0.681 0.319 0.500
0.000 0.000 0.000
```

Values from the calculation:
**Density of states at the Fermi level**: 0.319 states/eV per atom
**V**: 19.42 Å³/atom
**Total magnetic moment**: 0.0 μB per formula unit
**Crystal system**: monoclinic
**Raw total energy**: -2.39 eV per atom
**E_form**: -1.52 eV per formula unit

Crystalline MgSc4Pd at its relaxed geometry. Source: Alexandria via LeMat-Bulk, functional PBE-GGA.

The structure in POSCAR format:
```
MgSc4Pd
1.0
10.086 0.000 0.000
0.000 3.380 0.000
-3.521 0.000 8.393
Mg Sc Pd
2 8 2
direct
0.000 0.000 0.000
0.500 0.500 0.000
0.126 0.000 0.370
0.163 0.500 0.832
0.337 0.000 0.168
0.374 0.500 0.630
0.626 0.500 0.370
0.663 0.000 0.832
0.837 0.500 0.168
0.874 0.000 0.630
0.000 0.500 0.500
0.500 0.000 0.500
```

Values from the calculation:
**Density of states at the Fermi level**: 1.085 states/eV per atom
**V**: 23.85 Å³/atom
**Total magnetic moment**: 0.0 μB per formula unit
**Crystal system**: monoclinic
**Raw total energy**: -5.43 eV per atom
**E_form**: -0.50 eV per formula unit

Crystalline DyLuPtAu at its relaxed geometry. Source: Alexandria via LeMat-Bulk, functional PBE-GGA.

The structure in POSCAR format:
```
DyLuPtAu
1.0
7.019 0.000 0.000
0.000 7.019 0.000
0.000 0.000 7.019
Dy Lu Pt Au
4 4 4 4
direct
0.000 0.000 0.000
0.000 0.500 0.500
0.500 0.000 0.500
0.500 0.500 0.000
0.000 0.000 0.500
0.000 0.500 0.000
0.500 0.000 0.000
0.500 0.500 0.500
0.250 0.250 0.250
0.250 0.750 0.750
0.750 0.250 0.750
0.750 0.750 0.250
0.250 0.250 0.750
0.250 0.750 0.250
0.750 0.250 0.250
0.750 0.750 0.750
```

Values from the calculation:
**Density of states at the Fermi level**: 0.646 states/eV per atom
**V**: 21.61 Å³/atom
**Total magnetic moment**: 0.0 μB per formula unit
**Crystal system**: cubic
**Raw total energy**: -5.68 eV per atom
**E_form**: -4.26 eV per formula unit

Crystalline Sr3PbN at its relaxed geometry. Source: Alexandria via LeMat-Bulk, functional PBE-GGA.

The structure in POSCAR format:
```
Sr3PbN
1.0
-3.064 3.064 12.006
3.064 -3.064 12.006
3.064 3.064 -12.006
Sr Pb N
6 2 2
direct
0.197 0.197 0.000
0.374 0.138 0.764
0.374 0.610 0.236
0.390 0.626 0.764
0.803 0.803 0.000
0.862 0.626 0.236
0.250 0.750 0.500
0.500 0.500 0.000
0.652 0.152 0.500
0.848 0.348 0.500
```

Values from the calculation:
**Formation energy without anion corrections**: 816 meV per atom
**Density of states at the Fermi level**: 0.275 states/eV per atom
**V**: 45.10 Å³/atom
**Total magnetic moment**: 1.0 μB per formula unit
**Crystal system**: tetragonal
**Raw total energy**: -2.60 eV per atom

Which value of raw total energy does entry 4 give? -4.94 eV per atom